Record 1
# PBE Pr5Sb2H2, optimized geometry
data_Pr5Sb2H2
_chemical_formula_sum 'Pr10 Sb4 H4'
_cell_length_a 13.4697
_cell_length_b 5.3931
_cell_length_c 7.0113
_cell_angle_alpha 90.00
_cell_angle_beta 111.45
_cell_angle_gamma 90.00
_space_group_name_H-M_alt 'C 1 2/m 1'
_space_group_IT_number 12
loop_
_space_group_symop_operation_xyz
'x,y,z'
'-x,-y,-z'
'-x,y,-z'
'x,-y,z'
'x+1/2,y+1/2,z'
'-x+1/2,-y+1/2,-z'
'-x+1/2,y+1/2,-z'
'x+1/2,-y+1/2,z'
loop_
_atom_site_label
_atom_site_type_symbol
_atom_site_fract_x
_atom_site_fract_y
_atom_site_fract_z
Pr1 Pr 0.0000 0.0000 0.0000
Pr2 Pr 0.1513 0.0000 0.5566
Pr3 Pr 0.1588 0.5000 0.8818
Sb1 Sb 0.0980 0.5000 0.3067
H1 H 0.1561 0.0000 0.8937
# Uncorrected energy: -4.89 eV/atom

Record 2
# PBE Zn2OsSe, optimized geometry
data_Zn2OsSe
_chemical_formula_sum 'Zn2 Os1 Se1'
_cell_length_a 3.3690
_cell_length_b 3.3690
_cell_length_c 5.4602
_cell_angle_alpha 90.00
_cell_angle_beta 90.00
_cell_angle_gamma 90.00
_space_group_name_H-M_alt 'P 4/m m m'
_space_group_IT_number 123
_space_group_name_Hall '-P 4 2'
loop_
_atom_site_label
_atom_site_type_symbol
_atom_site_fract_x
_atom_site_fract_y
_atom_site_fract_z
Zn1 Zn 0.0000 0.0000 0.2304
Os1 Os 0.5000 0.5000 0.0000
Se1 Se 0.5000 0.5000 0.5000
# Uncorrected energy: -3.99 eV/atom
# E_form (uncorrected): 0.327 eV/atom

Record 3
# PBE AlRe2Bi, optimized geometry
data_AlRe2Bi
_chemical_formula_sum 'Al4 Re8 Bi4'
_cell_length_a 6.4672
_cell_length_b 6.4672
_cell_length_c 6.4672
_cell_angle_alpha 90.00
_cell_angle_beta 90.00
_cell_angle_gamma 90.00
_space_group_name_H-M_alt 'F m -3 m'
_space_group_IT_number 225
_space_group_name_Hall '-F 4 2 3'
loop_
_atom_site_label
_atom_site_type_symbol
_atom_site_fract_x
_atom_site_fract_y
_atom_site_fract_z
Al1 Al 0.0000 0.0000 0.0000
Re1 Re 0.2500 0.2500 0.2500
Bi1 Bi 0.0000 0.0000 0.5000
# Polymorph energy (0 for the lowest one): 0 meV/atom
# Uncorrected energy: -7.41 eV/atom
# Calculated formation energy: 715 meV/atom

Record 4
# PBE Pr2SnP3Pd4, optimized geometry
data_Pr2SnP3Pd4
_chemical_formula_sum 'Pr2 Sn1 P3 Pd4'
_cell_length_a 4.1810
_cell_length_b 4.1810
_cell_length_c 10.8763
_cell_angle_alpha 90.00
_cell_angle_beta 90.00
_cell_angle_gamma 90.00
_space_group_name_H-M_alt 'P -4 m 2'
_space_group_IT_number 115
loop_
_space_group_symop_operation_xyz
'x,y,z'
'y,-x,-z'
'-x,-y,z'
'-y,x,-z'
'-x,y,z'
'-y,-x,-z'
'x,-y,z'
'y,x,-z'
loop_
_atom_site_label
_atom_site_type_symbol
_atom_site_fract_x
_atom_site_fract_y
_atom_site_fract_z
Pr1 Pr 0.0000 0.5000 0.2283
Sn1 Sn 0.0000 0.0000 0.5000
P1 P 0.0000 0.5000 0.8710
P2 P 0.5000 0.5000 0.5000
Pd1 Pd 0.0000 0.0000 0.0000
Pd2 Pd 0.0000 0.5000 0.6528
Pd3 Pd 0.5000 0.5000 0.0000
# Uncorrected energy: -5.93 eV/atom
# Calculated formation energy: -872 meV/atom

Record 5
# PBE ZrHI2N, optimized geometry
data_ZrHI2N
_chemical_formula_sum 'Zr1 H1 I2 N1'
_cell_length_a 5.9379
_cell_length_b 5.9379
_cell_length_c 4.0421
_cell_angle_alpha 90.00
_cell_angle_beta 90.00
_cell_angle_gamma 90.00
_space_group_name_H-M_alt 'P 4/m m m'
_space_group_IT_number 123
_space_group_name_Hall '-P 4 2'
loop_
_atom_site_label
_atom_site_type_symbol
_atom_site_fract_x
_atom_site_fract_y
_atom_site_fract_z
Zr1 Zr 0.0000 0.0000 0.0000
H1 H 0.5000 0.5000 0.5000
I1 I 0.0000 0.5000 0.0000
N1 N 0.0000 0.0000 0.5000
# Polymorph energy (0 for the lowest one): 0 meV/atom
# Uncorrected energy: -4.46 eV/atom

Record 6
# PBE Sr4P, optimized geometry
data_Sr4P
_chemical_formula_sum 'Sr4 P1'
_cell_length_a 6.0953
_cell_length_b 6.0953
_cell_length_c 6.0953
_cell_angle_alpha 90.00
_cell_angle_beta 90.00
_cell_angle_gamma 90.00
_space_group_name_H-M_alt 'P m -3 m'
_space_group_IT_number 221
_space_group_name_Hall '-P 4 2 3'
loop_
_atom_site_label
_atom_site_type_symbol
_atom_site_fract_x
_atom_site_fract_y
_atom_site_fract_z
Sr1 Sr 0.0000 0.0000 0.0000
Sr2 Sr 0.0000 0.5000 0.5000
P1 P 0.5000 0.5000 0.5000
# Polymorph energy (0 for the lowest one): 7 meV/atom
# Uncorrected energy: -2.89 eV/atom
# Calculated formation energy: -460 meV/atom

Record 7
# PBE V14MoW, optimized geometry
data_V14MoW
_chemical_formula_sum 'V28 Mo2 W2'
_cell_length_a 6.0789
_cell_length_b 8.5277
_cell_length_c 8.5366
_cell_angle_alpha 90.00
_cell_angle_beta 90.00
_cell_angle_gamma 90.00
_space_group_name_H-M_alt 'C m m m'
_space_group_IT_number 65
_space_group_name_Hall '-C 2 2'
loop_
_atom_site_label
_atom_site_type_symbol
_atom_site_fract_x
_atom_site_fract_y
_atom_site_fract_z
V1 V 0.0000 0.0000 0.0000
V2 V 0.0000 0.2486 0.2405
V3 V 0.0000 0.5000 0.0000
V4 V 0.2489 0.5000 0.2464
V5 V 0.2500 0.2500 0.0000
V6 V 0.2500 0.2500 0.5000
Mo1 Mo 0.0000 0.5000 0.5000
W1 W 0.0000 0.0000 0.5000
# Uncorrected energy: -9.49 eV/atom
# Calculated formation energy: -28 meV/atom

Record 8
# PBE YHo6Sc, optimized geometry
data_YHo6Sc
_chemical_formula_sum 'Y3 Ho18 Sc3'
_cell_length_a 11.3639
_cell_length_b 11.3639
_cell_length_c 6.6484
_cell_angle_alpha 90.00
_cell_angle_beta 90.00
_cell_angle_gamma 120.00
_space_group_name_H-M_alt 'R -3 m'
_space_group_IT_number 166
_space_group_name_Hall '-R 3 2"'
loop_
_atom_site_label
_atom_site_type_symbol
_atom_site_fract_x
_atom_site_fract_y
_atom_site_fract_z
Y1 Y 0.0000 0.0000 0.0000
Ho1 Ho 0.0091 0.5046 0.2531
Sc1 Sc 0.0000 0.0000 0.5000
# Uncorrected energy: -4.78 eV/atom
# Calculated formation energy: 249 meV/atom

Record 9
# PBE Mg4Ga2Pd, optimized geometry
data_Mg4Ga2Pd
_chemical_formula_sum 'Mg8 Ga4 Pd2'
_cell_length_a 7.1653
_cell_length_b 8.5819
_cell_length_c 4.3724
_cell_angle_alpha 90.00
_cell_angle_beta 90.00
_cell_angle_gamma 90.00
_space_group_name_H-M_alt 'C m m m'
_space_group_IT_number 65
_space_group_name_Hall '-C 2 2'
loop_
_atom_site_label
_atom_site_type_symbol
_atom_site_fract_x
_atom_site_fract_y
_atom_site_fract_z
Mg1 Mg 0.2088 0.0000 0.0000
Mg2 Mg 0.2500 0.2500 0.5000
Ga1 Ga 0.0000 0.2888 0.0000
Pd1 Pd 0.0000 0.5000 0.5000
# Polymorph energy (0 for the lowest one): 0 meV/atom
# Uncorrected energy: -2.83 eV/atom
# Calculated formation energy: -312 meV/atom

Record 10
# PBE Ce2PuSi, optimized geometry
data_Ce2PuSi
_chemical_formula_sum 'Ce2 Pu1 Si1'
_cell_length_a 3.8120
_cell_length_b 3.8120
_cell_length_c 6.5865
_cell_angle_alpha 90.00
_cell_angle_beta 90.00
_cell_angle_gamma 90.00
_space_group_name_H-M_alt 'P 4/m m m'
_space_group_IT_number 123
_space_group_name_Hall '-P 4 2'
loop_
_atom_site_label
_atom_site_type_symbol
_atom_site_fract_x
_atom_site_fract_y
_atom_site_fract_z
Ce1 Ce 0.0000 0.0000 0.2222
Pu1 Pu 0.5000 0.5000 0.5000
Si1 Si 0.5000 0.5000 0.0000
# Polymorph energy (0 for the lowest one): 86 meV/atom
# Uncorrected energy: -8.16 eV/atom
# E_form (uncorrected): -0.255 eV/atom

Record 11
# PBE Cs2LaZrP, optimized geometry
data_Cs2LaZrP
_chemical_formula_sum 'Cs2 La1 Zr1 P1'
_cell_length_a 7.0070
_cell_length_b 7.0070
_cell_length_c 5.2736
_cell_angle_alpha 90.00
_cell_angle_beta 90.00
_cell_angle_gamma 90.00
_space_group_name_H-M_alt 'P 4/m m m'
_space_group_IT_number 123
_space_group_name_Hall '-P 4 2'
loop_
_atom_site_label
_atom_site_type_symbol
_atom_site_fract_x
_atom_site_fract_y
_atom_site_fract_z
Cs1 Cs 0.0000 0.5000 0.0000
La1 La 0.0000 0.0000 0.0000
Zr1 Zr 0.0000 0.0000 0.5000
P1 P 0.5000 0.5000 0.5000
# Uncorrected energy: -2.79 eV/atom
# Calculated formation energy: 1333 meV/atom

Record 12
# PBE Na6CdAg, optimized geometry
data_Na6CdAg
_chemical_formula_sum 'Na6 Cd1 Ag1'
_cell_length_a 4.9077
_cell_length_b 4.9077
_cell_length_c 9.5187
_cell_angle_alpha 90.00
_cell_angle_beta 90.00
_cell_angle_gamma 90.00
_space_group_name_H-M_alt 'P 4/m m m'
_space_group_IT_number 123
_space_group_name_Hall '-P 4 2'
loop_
_atom_site_label
_atom_site_type_symbol
_atom_site_fract_x
_atom_site_fract_y
_atom_site_fract_z
Na1 Na 0.0000 0.0000 0.0000
Na2 Na 0.0000 0.0000 0.5000
Na3 Na 0.0000 0.5000 0.2399
Cd1 Cd 0.5000 0.5000 0.5000
Ag1 Ag 0.5000 0.5000 0.0000
# Uncorrected energy: -1.46 eV/atom
# Calculated formation energy: -2 meV/atom